The following is a PBE calculation of crystalline RbCd3Pt at its relaxed geometry, from the Open Quantum Materials Database.

```
RbCd3Pt
1.0
7.5243 0.0000 0.0000
3.7569 6.5203 0.0000
3.7571 2.1705 6.1550
Rb Cd Pt
2 6 2
direct
0.7514 0.2523 0.2500 Rb
0.2486 0.7477 0.7500 Rb
0.2518 0.2492 0.2508 Cd
0.2497 0.7503 0.2487 Cd
0.2505 0.2479 0.7495 Cd
0.7495 0.7521 0.2505 Cd
0.7503 0.2497 0.7513 Cd
0.7482 0.7508 0.7492 Cd
0.5000 0.0000 0.0000 Pt
0.0000 0.5000 0.5000 Pt
```

Summary:
For the energy, the calculation gives -2.198 eV per atom. The volume is 30.20 Å³/atom. As for the symmetry: C2/m.



The following is a PBE calculation of crystalline LiLu2Sn at its relaxed geometry, from the Open Quantum Materials Database.

```
LiLu2Sn
1.0
0.0000 3.6679 3.6679
3.6679 0.0000 3.6679
3.6679 3.6679 0.0000
Sn Lu Li
1 2 1
direct
0.5000 0.5000 0.5000 Sn
0.0000 0.0000 0.0000 Lu
0.7500 0.7500 0.7500 Lu
0.2500 0.2500 0.2500 Li
```

Summary:
For the energy, the calculation gives -3.851 eV per atom. The volume is 24.67 Å³/atom. As for the symmetry: F-43m.



The following is a PBE calculation of crystalline ScNiHgB at its relaxed geometry, from the Open Quantum Materials Database.

```
ScNiHgB
1.0
0.0000 3.0860 3.0860
3.0860 0.0000 3.0860
3.0860 3.0860 0.0000
Sc Hg Ni B
1 1 1 1
direct
0.5000 0.5000 0.5000 Sc
0.2500 0.2500 0.2500 Hg
0.7500 0.7500 0.7500 Ni
0.0000 0.0000 0.0000 B
```

Summary:
For the energy, the calculation gives -4.256 eV per atom. The volume is 14.69 Å³/atom. As for the symmetry: F-43m. The value obtained for the distance to the lowest polymorph of the same formula is 0.79 eV/f.u.



The following is a PBE calculation of crystalline IrC2 at its relaxed geometry, from the Open Quantum Materials Database.

```
IrC2
1.0
2.5400 2.2897 0.0233
-2.2157 2.4489 0.8877
0.2930 -2.9007 2.1464
C Ir
2 1
direct
0.6218 0.6218 0.2435 C
0.3782 0.3782 0.7565 C
0.0000 0.0000 0.0000 Ir
```

Summary:
For the energy, the calculation gives -7.636 eV per atom. The volume is 10.50 Å³/atom. As for the symmetry: I4/mmm. The value obtained for the distance to the lowest polymorph of the same formula is 1.31 eV/f.u.



The following is a PBE calculation of crystalline Lu2GaFe at its relaxed geometry, from the Open Quantum Materials Database.

```
Lu2GaFe
1.0
0.0000 3.3087 3.3087
3.3087 0.0000 3.3087
3.3087 3.3087 0.0000
Fe Lu Ga
1 2 1
direct
0.2500 0.2500 0.2500 Fe
0.0000 0.0000 0.0000 Lu
0.7500 0.7500 0.7500 Lu
0.5000 0.5000 0.5000 Ga
```

Summary:
For the energy, the calculation gives -5.065 eV per atom. The volume is 18.11 Å³/atom. As for the symmetry: F-43m.



The following is a PBE calculation of crystalline GdTlHgS3 at its relaxed geometry, from the Open Quantum Materials Database.

```
GdTlHgS3
1.0
4.1487 0.0000 0.0000
2.0744 7.2687 0.0000
0.0000 0.0000 10.7825
Hg S Gd Tl
2 6 2 2
direct
0.4245 0.1510 0.7500 Hg
0.5755 0.8490 0.2500 Hg
0.6275 0.7451 0.0348 S
0.9441 0.1117 0.2500 S
0.3726 0.2549 0.9652 S
0.6275 0.7451 0.4652 S
0.0559 0.8883 0.7500 S
0.3726 0.2549 0.5348 S
0.0000 0.0000 0.0000 Gd
0.0000 0.0000 0.5000 Gd
0.7137 0.5727 0.7500 Tl
0.2864 0.4273 0.2500 Tl
```

Summary:
For the energy, the calculation gives -4.262 eV per atom. The volume is 27.10 Å³/atom. As for the symmetry: Cmcm. The value obtained for the distance to the lowest polymorph of the same formula is 0.00 eV/f.u.



The following is a PBE calculation of crystalline ZrMoP at its relaxed geometry, from the Open Quantum Materials Database.

```
ZrMoP
1.0
7.1203 0.0000 0.0000
-3.5602 6.1664 0.0000
0.0000 0.0000 3.3871
Zr Mo P
3 3 3
direct
0.2667 0.0000 0.0000 Zr
0.7333 0.7333 0.0000 Zr
0.0000 0.2667 0.0000 Zr
0.0000 0.5977 0.5000 Mo
0.4023 0.4023 0.5000 Mo
0.5977 0.0000 0.5000 Mo
0.3333 0.6667 0.0000 P
0.0000 0.0000 0.5000 P
0.6667 0.3333 0.0000 P
```

Summary:
For the energy, the calculation gives -8.683 eV per atom. The volume is 16.52 Å³/atom. As for the symmetry: P-62m. The value obtained for the distance to the lowest polymorph of the same formula is 1.70 eV/f.u.



The following is a PBE calculation of crystalline HoErTe2 at its relaxed geometry, from the Open Quantum Materials Database.

```
HoErTe2
1.0
-5.8572 -4.6925 -1.4698
3.4436 -2.2825 -6.4357
1.8594 -2.9616 2.0453
Ho Er Te
2 2 4
direct
0.5000 0.0000 0.2010 Ho
0.0000 0.5000 0.7990 Ho
0.5000 0.5000 0.0000 Er
0.0000 0.0000 0.0000 Er
0.7865 0.2865 0.3097 Te
0.2135 0.7135 0.3097 Te
0.2865 0.2135 0.6903 Te
0.7135 0.7865 0.6903 Te
```

Summary:
For the energy, the calculation gives -4.922 eV per atom. The volume is 29.62 Å³/atom. As for the symmetry: P-42_1m. The value obtained for the distance to the lowest polymorph of the same formula is 0.75 eV/f.u.



The following is a PBE calculation of crystalline Nb4GaSiN2 at its relaxed geometry, from the Open Quantum Materials Database.

```
Nb4GaSiN2
1.0
-0.4179 -2.3404 -1.9054
1.4650 -0.4255 2.6373
-11.9750 -2.8972 6.1849
Nb Ga N Si
4 1 2 1
direct
0.0000 0.0000 0.6468 Nb
0.0000 0.0000 0.3532 Nb
0.6667 0.3333 0.1598 Nb
0.6667 0.3333 0.8402 Nb
0.0000 0.0000 0.0000 Ga
0.3333 0.6667 0.2563 N
0.3333 0.6667 0.7437 N
0.6667 0.3333 0.5000 Si
```

Summary:
For the energy, the calculation gives -8.840 eV per atom. The volume is 13.85 Å³/atom. As for the symmetry: P-6m2.



The following is a PBE calculation of crystalline BaHgPdPb2 at its relaxed geometry, from the Open Quantum Materials Database.

```
BaHgPdPb2
1.0
-2.4784 2.4784 6.0819
2.4784 -2.4784 6.0819
2.4784 2.4784 -6.0819
Pd Hg Pb Ba
1 1 2 1
direct
0.3718 0.3718 0.0000 Pd
0.5963 0.5963 0.0000 Hg
0.7621 0.2621 0.5000 Pb
0.2621 0.7621 0.5000 Pb
0.0078 0.0078 0.0000 Ba
```

Summary:
For the energy, the calculation gives -3.405 eV per atom. The volume is 29.89 Å³/atom. As for the symmetry: I4mm.



The following is a PBE calculation of crystalline TaBeNO at its relaxed geometry, from the Open Quantum Materials Database.

```
TaBeNO
1.0
-2.8853 3.3518 -0.5236
-1.4682 -1.5960 -2.1264
-3.4280 -2.3102 4.1008
Ta N O Be
2 2 2 2
direct
0.0683 0.5000 0.8521 Ta
0.5683 0.5000 0.1479 Ta
0.6056 0.0000 0.3667 N
0.1056 0.0000 0.6333 N
0.5753 0.5000 0.7676 O
0.0753 0.5000 0.2324 O
0.4969 0.0000 0.6375 Be
0.9969 0.0000 0.3625 Be
```

Summary:
For the energy, the calculation gives -8.556 eV per atom. The volume is 9.84 Å³/atom. As for the symmetry: Pmc2_1. The value obtained for the distance to the lowest polymorph of the same formula is 1.49 eV/f.u.



The following is a PBE calculation of crystalline Sc3CoCu2 at its relaxed geometry, from the Open Quantum Materials Database.

```
Sc3CoCu2
1.0
3.1964 0.0000 0.0000
0.0000 3.1964 0.0000
0.0000 0.0000 9.6775
Cu Sc Co
2 3 1
direct
0.0000 0.0000 0.8287 Cu
0.0000 0.0000 0.1713 Cu
0.5000 0.5000 0.3427 Sc
0.5000 0.5000 0.6573 Sc
0.5000 0.5000 0.0000 Sc
0.0000 0.0000 0.5000 Co
```

Summary:
For the energy, the calculation gives -5.895 eV per atom. The volume is 16.48 Å³/atom. As for the symmetry: P4/mmm. The formation energy comes out at -0.307 eV per atom.



The following is a PBE calculation of crystalline ErBi at its relaxed geometry, from the Open Quantum Materials Database.

```
ErBi
1.0
4.1274 0.0000 0.0000
-2.0637 3.5743 0.0000
0.0000 0.0000 4.0599
Er Bi
1 1
direct
0.3333 0.6666 0.2500 Er
0.6667 0.3334 0.7500 Bi
```

Summary:
For the energy, the calculation gives -4.879 eV per atom. The volume is 29.95 Å³/atom. As for the symmetry: P-6m2.



The following is a PBE calculation of crystalline PuOs at its relaxed geometry, from the Open Quantum Materials Database.

```
PuOs
1.0
-2.7872 0.5427 2.9531
-3.9417 0.5399 -0.9777
-2.7320 -2.9450 0.8045
Pu Os
1 1
direct
0.2500 0.2500 0.2500 Pu
0.0000 0.0000 0.0000 Os
```

Summary:
For the energy, the calculation gives -11.550 eV per atom. The volume is 24.31 Å³/atom. As for the symmetry: F-43m. The formation energy comes out at 1.126 eV per atom.



The following is a PBE calculation of crystalline RbB4Pd at its relaxed geometry, from the Open Quantum Materials Database.

```
RbB4Pd
1.0
4.2847 -3.6962 0.2729
4.9168 2.5948 1.0893
-5.1914 -1.7348 1.4609
Rb B Pd
1 4 1
direct
0.5000 0.5000 0.0000 Rb
0.9142 0.2693 0.6448 B
0.6245 0.2693 0.3552 B
0.3755 0.7307 0.6448 B
0.0858 0.7307 0.3552 B
0.0000 0.0000 0.0000 Pd
```

Summary:
For the energy, the calculation gives -4.876 eV per atom. The volume is 12.19 Å³/atom. As for the symmetry: Immm. The value obtained for the distance to the lowest polymorph of the same formula is 1.44 eV/f.u.



The following is a PBE calculation of crystalline GdTeNO at its relaxed geometry, from the Open Quantum Materials Database.

```
GdTeNO
1.0
-0.2288 4.4486 2.4033
0.7752 2.4082 -4.3839
-4.9034 0.1667 -0.7755
N O Te Gd
2 2 2 2
direct
0.7500 0.7500 0.4929 N
0.2500 0.2500 0.5071 N
0.2500 0.7500 0.0000 O
0.7500 0.2500 0.0000 O
0.7500 0.7500 0.0008 Te
0.2500 0.2500 0.9992 Te
0.2500 0.7500 0.5000 Gd
0.7500 0.2500 0.5000 Gd
```

Summary:
For the energy, the calculation gives -6.045 eV per atom. The volume is 15.91 Å³/atom. As for the symmetry: P4/nmm. The value obtained for the distance to the lowest polymorph of the same formula is 2.79 eV/f.u.



The following is a PBE calculation of crystalline Nd2DyMg3CdHg2 at its relaxed geometry, from the Open Quantum Materials Database.

```
Nd2DyMg3CdHg2
1.0
4.7509 0.0000 0.0000
0.0000 6.4541 3.7853
0.0000 -6.4541 3.7853
Mg Nd Hg Cd Dy
3 2 2 1 1
direct
0.5000 0.7581 0.0000 Mg
0.5000 0.0000 0.7581 Mg
0.5000 0.2390 0.2390 Mg
0.0000 0.0033 0.4261 Nd
0.0000 0.4261 0.0033 Nd
0.5000 0.3420 0.6658 Hg
0.5000 0.6658 0.3420 Hg
0.0000 0.9905 0.9905 Cd
0.0000 0.5752 0.5752 Dy
```

Summary:
For the energy, the calculation gives -2.610 eV per atom. The volume is 25.79 Å³/atom. As for the symmetry: Amm2.



The following is a PBE calculation of crystalline PrNd2Zn4Si4 at its relaxed geometry, from the Open Quantum Materials Database.

```
PrNd2Zn4Si4
1.0
12.3855 2.7888 -0.6892
10.3526 6.5405 3.4205
-10.7953 -6.6768 0.7312
Nd Zn Si Pr
2 4 4 1
direct
0.1452 0.6452 0.5000 Nd
0.8548 0.3548 0.5000 Nd
0.2497 0.2497 0.0000 Zn
0.4053 0.9053 0.5000 Zn
0.7503 0.7503 0.0000 Zn
0.5947 0.0947 0.5000 Zn
0.5478 0.5478 0.0000 Si
0.4522 0.4522 0.0000 Si
0.6914 0.1914 0.5000 Si
0.3086 0.8086 0.5000 Si
0.0000 0.0000 0.0000 Pr
```

Summary:
For the energy, the calculation gives -4.301 eV per atom. The volume is 19.73 Å³/atom. As for the symmetry: Immm.



The following is a PBE calculation of crystalline PaNiOs at its relaxed geometry, from the Open Quantum Materials Database.

```
PaNiOs
1.0
-0.0730 -4.0029 -1.5160
0.8529 -3.2904 2.6025
-3.1329 -2.6740 1.1669
Pa Ni Os
1 1 1
direct
0.2500 0.2500 0.2500 Pa
0.0000 0.0000 0.0000 Ni
0.7500 0.7500 0.7500 Os
```

Summary:
For the energy, the calculation gives -8.850 eV per atom. The volume is 18.49 Å³/atom. As for the symmetry: F-43m. The value obtained for the distance to the lowest polymorph of the same formula is 0.00 eV/f.u. The formation energy comes out at -0.087 eV per atom.



The following is a PBE calculation of crystalline ThCuOs at its relaxed geometry, from the Open Quantum Materials Database.

```
ThCuOs
1.0
0.0000 3.1354 3.1354
3.1354 0.0000 3.1354
3.1354 3.1354 0.0000
Os Th Cu
1 1 1
direct
0.2500 0.2500 0.2500 Os
0.7500 0.7500 0.7500 Th
0.0000 0.0000 0.0000 Cu
```

Summary:
For the energy, the calculation gives -7.264 eV per atom. The volume is 20.55 Å³/atom. As for the symmetry: F-43m. The value obtained for the distance to the lowest polymorph of the same formula is 0.00 eV/f.u. The formation energy comes out at 0.188 eV per atom.



The following is a PBE calculation of crystalline PrLuNi at its relaxed geometry, from the Open Quantum Materials Database.

```
PrLuNi
1.0
0.0000 3.3823 3.3823
3.3823 0.0000 3.3823
3.3823 3.3823 0.0000
Lu Pr Ni
1 1 1
direct
0.2500 0.2500 0.2500 Lu
0.7500 0.7500 0.7500 Pr
0.0000 0.0000 0.0000 Ni
```

Summary:
For the energy, the calculation gives -5.079 eV per atom. The volume is 25.80 Å³/atom. As for the symmetry: F-43m. The value obtained for the distance to the lowest polymorph of the same formula is 0.00 eV/f.u. The formation energy comes out at -0.124 eV per atom.



The following is a PBE calculation of crystalline LiTbAg3O4 at its relaxed geometry, from the Open Quantum Materials Database.

```
LiTbAg3O4
1.0
5.4344 0.0000 0.0000
0.0000 5.4344 0.0000
0.0000 0.0000 5.4344
Li Ag Tb O
1 3 1 4
direct
0.0000 0.0000 0.0000 Li
0.0000 0.5000 0.5000 Ag
0.5000 0.5000 0.0000 Ag
0.5000 0.0000 0.5000 Ag
0.5000 0.5000 0.5000 Tb
0.2644 0.2644 0.2644 O
0.7356 0.2644 0.7356 O
0.7356 0.7356 0.2644 O
0.2644 0.7356 0.7356 O
```

Summary:
For the energy, the calculation gives -4.630 eV per atom. The volume is 17.83 Å³/atom. As for the symmetry: P-43m.



The following is a PBE calculation of crystalline LiSiAgO3 at its relaxed geometry, from the Open Quantum Materials Database.

```
LiSiAgO3
1.0
2.7637 0.0000 0.0000
0.0000 8.2336 0.0000
-0.0003 -0.0002 10.3502
Si O Ag Li
4 12 4 4
direct
0.7500 0.1456 0.0417 Si
0.2500 0.8534 0.9546 Si
0.7500 0.3545 0.5418 Si
0.2500 0.6466 0.4547 Si
0.7500 0.2377 0.6753 O
0.2500 0.7659 0.3215 O
0.2500 0.2425 0.9603 O
0.7500 0.7429 0.5371 O
0.2500 0.2575 0.4602 O
0.7500 0.2623 0.1753 O
0.2500 0.0088 0.0946 O
0.7500 0.9896 0.9013 O
0.7500 0.7571 0.0372 O
0.2500 0.4912 0.5945 O
0.2500 0.7341 0.8216 O
0.7500 0.5104 0.4012 O
0.2500 0.0130 0.3888 Ag
0.2500 0.4870 0.8888 Ag
0.7500 0.5198 0.1293 Ag
0.7500 0.9802 0.6293 Ag
0.7500 0.6622 0.7107 Li
0.2500 0.1822 0.7847 Li
0.7500 0.8378 0.2108 Li
0.2500 0.3178 0.2846 Li
```

Summary:
For the energy, the calculation gives -5.955 eV per atom. The volume is 9.81 Å³/atom. As for the symmetry: Pmc2_1.



The following is a PBE calculation of crystalline RbScCuTe3 at its relaxed geometry, from the Open Quantum Materials Database.

```
RbScCuTe3
1.0
2.0338 -8.4176 0.0000
2.0338 8.4176 0.0000
0.0000 0.0000 10.8773
Rb Te Cu Sc
2 6 2 2
direct
0.7504 0.2496 0.7500 Rb
0.2496 0.7504 0.2500 Rb
0.8798 0.1202 0.4468 Te
0.1202 0.8798 0.9468 Te
0.4335 0.5665 0.7500 Te
0.5665 0.4335 0.2500 Te
0.1202 0.8798 0.5532 Te
0.8798 0.1202 0.0532 Te
0.9667 0.0333 0.2500 Cu
0.0333 0.9667 0.7500 Cu
0.5000 0.5000 0.0000 Sc
0.5000 0.5000 0.5000 Sc
```

Summary:
For the energy, the calculation gives -4.258 eV per atom. The volume is 31.04 Å³/atom. As for the symmetry: Cmcm.



The following is a PBE calculation of crystalline LaLuMgTe3 at its relaxed geometry, from the Open Quantum Materials Database.

```
LaLuMgTe3
1.0
4.4848 5.9338 2.4125
-5.4235 -5.3486 1.7666
7.8434 -7.0455 2.7483
Lu Te La Mg
2 6 2 2
direct
0.0000 0.0000 0.0000 Lu
0.0000 0.0000 0.5000 Lu
0.6411 0.3589 0.4488 Te
0.3589 0.6411 0.5512 Te
0.3589 0.6411 0.9488 Te
0.8924 0.1076 0.2500 Te
0.1076 0.8924 0.7500 Te
0.6411 0.3589 0.0512 Te
0.2190 0.7810 0.2500 La
0.7810 0.2190 0.7500 La
0.5178 0.4822 0.2500 Mg
0.4822 0.5178 0.7500 Mg
```

Summary:
For the energy, the calculation gives -4.474 eV per atom. The volume is 29.50 Å³/atom. As for the symmetry: Cmcm.



The following is a PBE calculation of crystalline SmUNb at its relaxed geometry, from the Open Quantum Materials Database.

```
SmUNb
1.0
4.2416 2.3744 0.2101
0.3825 4.0681 2.6414
2.5911 -0.0080 4.1182
Sm U Nb
1 1 1
direct
0.2500 0.2500 0.2500 Sm
0.7500 0.7500 0.7500 U
0.0000 0.0000 0.0000 Nb
```

Summary:
For the energy, the calculation gives -7.696 eV per atom. The volume is 27.15 Å³/atom. As for the symmetry: F-43m. The value obtained for the distance to the lowest polymorph of the same formula is 0.00 eV/f.u. The formation energy comes out at 1.005 eV per atom.